No. 1
Entry from the Alexandria database: a relaxed structure of Pm5GaAg2 (GGA-PBE).

Results
The energy of formation comes out at -1.90 eV per formula unit. Its energy is -4.30 eV/atom.

Cell: 7.5985 7.5985 15.7537 Å, 90.00 90.00 90.00°
Last column: nearest neighbours and their distance in Å.
Space group I4/mcm (No. 140)
Unique sites:
Pm: 0.0000 0.0000 0.0000  4 Ag 2.99
Pm: 0.1663 0.3337 0.1553  2 Ga 3.20, 3 Ag 3.29-3.33, 2 Pm 3.48-3.57
Ga: 0.0000 0.0000 0.2500  8 Pm 3.20
Ag: 0.1288 0.3712 0.5000  1 Ag 2.77, 2 Pm 2.99

=====

No. 2
Entry from the Alexandria database: a relaxed structure of Pm3Ga2Ag4 (GGA-PBE).

Results
The energy of formation comes out at -3.49 eV per formula unit. Its energy is -3.91 eV/atom.

Cell: 10.8872 4.6994 8.9246 Å, 90.00 115.66 90.00°
Last column: nearest neighbours and their distance in Å.
Space group C2/m (No. 12)
Unique sites:
Pm: 0.0000 0.0000 0.0000  8 Ag 3.19-3.37, 4 Ga 3.33
Pm: 0.1597 0.5000 0.6720  8 Ag 3.20-3.32, 4 Ga 3.23-3.25, 1 Pm 3.50
Ga: 0.1234 0.5000 0.2927  3 Ag 2.68
Ag: 0.0747 0.0000 0.4015  2 Ga 2.68, 1 Ag 2.87
Ag: 0.2136 0.5000 0.0572  1 Ga 2.68, 2 Ag 2.81

=====

No. 3
Entry from the Alexandria database: a relaxed structure of Pm2Ga7Ag (GGA-PBE).

Results
The energy of formation comes out at -4.32 eV per formula unit. Its energy is -3.79 eV/atom.

Cell: 4.3110 4.3110 10.7867 Å, 90.00 90.00 90.00°
Last column: nearest neighbours and their distance in Å.
Space group P-4m2 (No. 115)
Unique sites:
Pm: 0.0000 0.5000 0.2485  14 Ga 3.28-3.47, 2 Ag 3.47
Ga: 0.0000 0.0000 0.0000  4 Ga 2.61
Ga: 0.0000 0.5000 0.6378  3 Ga 2.44-2.62, 2 Ag 2.62
Ga: 0.0000 0.5000 0.8643  5 Ga 2.44-2.61
Ga: 0.5000 0.5000 0.0000  4 Ga 2.61
Ga: 0.5000 0.5000 0.5000  4 Ga 2.62
Ag: 0.0000 0.0000 0.5000  4 Ga 2.62

=====

No. 4
Entry from the Alexandria database: a relaxed structure of Pm3Ga2Ag3 (GGA-PBE).

Results
The energy of formation comes out at -3.04 eV per formula unit. Its energy is -3.99 eV/atom.

Cell: 8.2821 15.9851 5.7258 Å, 90.00 90.00 90.00°
Last column: nearest neighbours and their distance in Å.
Space group Pnma (No. 62)
Unique sites:
Pm: 0.0448 0.1071 0.1338  3 Ga 3.11-3.28, 6 Ag 3.17-3.44
Pm: 0.1758 0.2500 0.6394  3 Ag 3.11-3.31, 4 Ga 3.15-3.24
Ga: 0.1063 0.6097 0.3638  4 Ag 2.59-2.79
Ag: 0.1747 0.7500 0.6370  2 Ga 2.79, 1 Pm 3.11
Ag: 0.1836 0.0326 0.6064  3 Ga 2.59-2.74

=====

No. 5
Entry from the Alexandria database: a relaxed structure of Pm3Ga2Ag3 (GGA-PBE).

Results
The energy of formation comes out at -3.15 eV per formula unit. Its energy is -4.00 eV/atom.

Cell: 4.5644 10.8271 15.3933 Å, 90.00 90.00 90.00°
Last column: nearest neighbours and their distance in Å.
Space group Cmcm (No. 63)
Unique sites:
Pm: 0.0000 0.0926 0.1025  4 Ga 3.18-3.40, 7 Ag 3.18-3.37
Pm: 0.0000 0.3831 0.2500  5 Ag 3.08-3.27, 4 Ga 3.32
Ga: 0.0000 0.2008 0.6046  3 Ag 2.64-2.66
Ag: 0.0000 0.3328 0.7500  2 Ga 2.66
Ag: 0.0000 0.3816 0.0406  2 Ga 2.64, 1 Ag 2.85

=====

No. 6
Entry from the Alexandria database: a relaxed structure of Pm2Ga5Ag5 (GGA-PBE).

Results
The energy of formation comes out at -2.90 eV per formula unit. Its energy is -3.48 eV/atom.

Cell: 4.3593 5.6791 9.7424 Å, 90.00 90.00 90.00°
Last column: nearest neighbours and their distance in Å.
Space group Pmmm (No. 47)
Unique sites:
Pm: 0.0000 0.0000 0.0000  6 Ga 3.22-3.26, 4 Ag 3.58
Pm: 0.0000 0.5000 0.5000  10 Ga 3.26-3.58, 8 Ag 3.52
Ga: 0.0000 0.0000 0.3303  4 Ag 2.71, 2 Ga 2.74
Ga: 0.0000 0.5000 0.1654  6 Ag 2.71-2.74
Ga: 0.5000 0.0000 0.5000  4 Ga 2.74, 4 Ag 2.78
Ag: 0.5000 0.2514 0.2556  5 Ga 2.71-2.78, 3 Ag 2.82-2.86
Ag: 0.5000 0.5000 0.0000  4 Ga 2.71, 4 Ag 2.86

=====

No. 7
Entry from the Alexandria database: a relaxed structure of Pm4Ga3Ag (GGA-PBE).

Results
The energy of formation comes out at -3.79 eV per formula unit. Its energy is -4.34 eV/atom.

Cell: 4.3033 4.3167 11.2948 Å, 90.00 90.00 90.00°
Last column: nearest neighbours and their distance in Å.
Space group Pmm2 (No. 25)
Unique sites:
Pm: 0.0000 0.0000 0.0000  5 Ga 3.13-3.21, 2 Ag 3.26
Pm: 0.0000 0.5000 0.4947  6 Ga 3.14-3.21, 1 Ag 3.26
Pm: 0.5000 0.0000 0.7112  4 Ag 3.16, 3 Ga 3.20-3.34
Pm: 0.5000 0.5000 0.2134  7 Ga 3.12-3.24
Ga: 0.0000 0.0000 0.2844  2 Ga 2.69
Ga: 0.5000 0.0000 0.4277  2 Ga 2.69
Ga: 0.5000 0.5000 0.9369  2 Ag 2.76
Ag: 0.0000 0.5000 0.7835  2 Ga 2.76

=====

No. 8
Entry from the Alexandria database: a relaxed structure of Pm3Ga9Ag2 (GGA-PBE).

Results
The energy of formation comes out at -6.80 eV per formula unit. Its energy is -3.86 eV/atom.

Cell: 4.3199 10.1219 12.8387 Å, 90.00 90.00 90.00°
Last column: nearest neighbours and their distance in Å.
Space group Immm (No. 71)
Unique sites:
Pm: 0.0000 0.0000 0.0000  12 Ga 3.29-3.30, 4 Ag 3.55
Pm: 0.0000 0.0000 0.3179  10 Ga 3.17-3.21, 2 Ag 3.24
Ga: 0.0000 0.2721 0.1398  4 Ga 2.64-2.92, 2 Ag 2.81
Ga: 0.0000 0.3739 0.3331  4 Ga 2.55-2.69, 1 Ag 2.64
Ga: 0.0000 0.5000 0.0000  4 Ga 2.92, 4 Ag 3.11, 4 Pm 3.18
Ag: 0.0000 0.2213 0.5000  6 Ga 2.64-2.81